a.
Material: CsRbHg2
Method: DFT, PBE-GGA
State: optimized geometry

Unit cell a=5.252 b=7.442 c=10.056 alpha=90.00 beta=90.00 gamma=90.00
Sites, in units of the cell vectors:
Cs: 0.000 0.135 0.000
Cs: 0.000 0.865 0.500
Rb: 0.500 0.367 0.352
Rb: 0.500 0.633 0.852
Hg: 0.000 0.361 0.636
Hg: 0.000 0.639 0.136
Hg: 0.500 0.153 0.709
Hg: 0.500 0.847 0.209

Output
Density of states at the Fermi level, states/eV per atom: 0.46



b.
Material: CsRbHg2
Method: DFT, PBE-GGA
State: optimized geometry

Unit cell a=9.083 b=9.083 c=9.083 alpha=90.00 beta=90.00 gamma=90.00
Sites, in units of the cell vectors:
Cs: 0.000 0.000 0.000
Cs: 0.000 0.500 0.500
Cs: 0.500 0.000 0.500
Cs: 0.500 0.500 0.000
Rb: 0.000 0.000 0.500
Rb: 0.000 0.500 0.000
Rb: 0.500 0.000 0.000
Rb: 0.500 0.500 0.500
Hg: 0.250 0.250 0.250
Hg: 0.250 0.250 0.750
Hg: 0.250 0.750 0.250
Hg: 0.250 0.750 0.750
Hg: 0.750 0.250 0.250
Hg: 0.750 0.250 0.750
Hg: 0.750 0.750 0.250
Hg: 0.750 0.750 0.750

Output
Density of states at the Fermi level, states/eV per atom: 1.67



c.
Material: CsRbHg2
Method: DFT, PBE-GGA
State: optimized geometry

Unit cell a=5.327 b=5.327 c=26.897 alpha=90.00 beta=90.00 gamma=120.00
Sites, in units of the cell vectors:
Cs: 0.000 0.000 0.000
Cs: 0.333 0.667 0.667
Cs: 0.667 0.333 0.333
Rb: 0.000 0.000 0.174
Rb: 0.333 0.667 0.841
Rb: 0.667 0.333 0.508
Hg: 0.000 0.000 0.586
Hg: 0.000 0.000 0.756
Hg: 0.333 0.667 0.252
Hg: 0.333 0.667 0.423
Hg: 0.667 0.333 0.089
Hg: 0.667 0.333 0.919

Output
Density of states at the Fermi level, states/eV per atom: 0.83



d.
Material: CsRbHg2
Method: DFT, PBE-GGA
State: optimized geometry

Unit cell a=5.380 b=5.342 c=7.329 alpha=90.00 beta=111.44 gamma=90.00
Sites, in units of the cell vectors:
Cs: 0.000 0.000 0.000
Rb: 0.288 0.500 0.577
Hg: 0.587 0.500 0.175
Hg: 0.709 0.000 0.418

Output
Density of states at the Fermi level, states/eV per atom: 0.62



The most stable of them is a.